(1)
Computed, not measured: crystalline Ba4HgH at its relaxed geometry at the PBE-GGA level of DFT.

Cell: 7.0145 11.1547 7.0268 Å, 90.00 94.12 90.00°
With the nearest neighbours (Å) after each atom.
Fractional coordinates of all 12 atoms:
Ba (0.1677, 0.2500, 0.2705)  1 H 2.63
Ba (0.2301, 0.7500, 0.3334)  1 H 2.63
Ba (0.2752, 0.0400, 0.7759)  1 H 2.67
Ba (0.2752, 0.4600, 0.7759)  1 H 2.67
Ba (0.7248, 0.5400, 0.2241)  1 H 2.67
Ba (0.7248, 0.9600, 0.2241)  1 H 2.67
Ba (0.7699, 0.2500, 0.6666)  1 H 2.63
Ba (0.8323, 0.7500, 0.7295)  1 H 2.63
Hg (0.3724, 0.7500, 0.8736)  4 Ba 3.37-3.45
Hg (0.6276, 0.2500, 0.1264)  4 Ba 3.37-3.45
H (0.1425, 0.2500, 0.6425)  4 Ba 2.63-2.67
H (0.8575, 0.7500, 0.3575)  4 Ba 2.63-2.67

Calculated values
E = -2.15 eV/atom



(2)
Computed, not measured: crystalline ZnCrAg at its relaxed geometry at the PBE-GGA level of DFT.

Cell: 3.7259 3.7407 12.4920 Å, 90.00 90.00 90.00°
With the nearest neighbours (Å) after each atom.
Fractional coordinates of all 12 atoms:
Zn (0.0000, 0.0000, 0.0000)  4 Zn 2.64, 4 Cr 2.66-2.67, 4 Ag 2.88-2.89
Zn (0.0000, 0.5000, 0.5000)  4 Zn 2.64, 4 Cr 2.66-2.67, 4 Ag 2.88-2.89
Zn (0.5000, 0.0000, 0.5000)  4 Zn 2.64, 4 Cr 2.66-2.67, 4 Ag 2.88-2.89
Zn (0.5000, 0.5000, 0.0000)  4 Zn 2.64, 4 Cr 2.66-2.67, 4 Ag 2.88-2.89
Cr (0.0000, 0.0000, 0.3477)  4 Cr 2.64, 4 Zn 2.66-2.67, 4 Ag 2.84-2.85
Cr (0.0000, 0.5000, 0.8477)  4 Cr 2.64, 4 Zn 2.66-2.67, 4 Ag 2.84-2.85
Cr (0.5000, 0.0000, 0.8477)  4 Cr 2.64, 4 Zn 2.66-2.67, 4 Ag 2.84-2.85
Cr (0.5000, 0.5000, 0.3477)  4 Cr 2.64, 4 Zn 2.66-2.67, 4 Ag 2.84-2.85
Ag (0.0000, 0.0000, 0.6759)  4 Ag 2.64, 4 Cr 2.84-2.85, 4 Zn 2.88-2.89
Ag (0.0000, 0.5000, 0.1759)  4 Ag 2.64, 4 Cr 2.84-2.85, 4 Zn 2.88-2.89
Ag (0.5000, 0.0000, 0.1759)  4 Ag 2.64, 4 Cr 2.84-2.85, 4 Zn 2.88-2.89
Ag (0.5000, 0.5000, 0.6759)  4 Ag 2.64, 4 Cr 2.84-2.85, 4 Zn 2.88-2.89

Calculated values
ΔH_f (0 K) = 365 meV/atom
E above lowest polymorph = 0.0912 eV per atom



(3)
Computed, not measured: crystalline Ce3PuTc at its relaxed geometry at the PBE-GGA level of DFT.

Cell: 7.6040 7.6040 8.0834 Å, 112.93 112.93 30.31°
With the nearest neighbours (Å) after each atom.
Fractional coordinates of all 10 atoms:
Ce (0.0656, 0.0656, 0.3231)  2 Pu 2.70, 1 Tc 2.85
Ce (0.1660, 0.1660, 0.0077)  2 Pu 2.65
Ce (0.3935, 0.3935, 0.3434)  2 Tc 3.07, 8 Ce 3.13-3.35
Ce (0.6065, 0.6065, 0.6566)  2 Tc 3.07, 8 Ce 3.13-3.35
Ce (0.8340, 0.8340, 0.9923)  2 Pu 2.65
Ce (0.9344, 0.9344, 0.6769)  2 Pu 2.70, 1 Tc 2.85
Pu (0.4203, 0.4203, 0.8922)  1 Pu 2.29, 1 Tc 2.53
Pu (0.5797, 0.5797, 0.1078)  1 Pu 2.29, 1 Tc 2.53
Tc (0.2562, 0.2562, 0.6183)  1 Pu 2.53, 2 Tc 2.71
Tc (0.7438, 0.7438, 0.3817)  1 Pu 2.53, 2 Tc 2.71

Calculated values
ΔH_f (0 K) = 135 meV/atom



(4)
Computed, not measured: crystalline KAcHg2 at its relaxed geometry at the PBE-GGA level of DFT.

Cell: 4.2616 4.2616 29.2894 Å, 90.00 90.00 120.00°
With the nearest neighbours (Å) after each atom.
Fractional coordinates of all 12 atoms:
K (0.0000, 0.0000, 0.0000)  6 Hg 3.57-3.59
K (0.3333, 0.6667, 0.6667)  6 Hg 3.57-3.59
K (0.6667, 0.3333, 0.3333)  6 Hg 3.57-3.59
Ac (0.0000, 0.0000, 0.8328)  6 Hg 3.35
Ac (0.3333, 0.6667, 0.4995)  6 Hg 3.35
Ac (0.6667, 0.3333, 0.1661)  6 Hg 3.35
Hg (0.0000, 0.0000, 0.2439)  3 Ac 3.35, 3 K 3.59
Hg (0.0000, 0.0000, 0.4219)  3 Ac 3.35, 3 K 3.57
Hg (0.3333, 0.6667, 0.0885)  3 Ac 3.35, 3 K 3.57
Hg (0.3333, 0.6667, 0.9105)  3 Ac 3.35, 3 K 3.59
Hg (0.6667, 0.3333, 0.5772)  3 Ac 3.35, 3 K 3.59
Hg (0.6667, 0.3333, 0.7552)  3 Ac 3.35, 3 K 3.57

Calculated values
ΔH_f (0 K) = -216 meV/atom



(5)
Computed, not measured: crystalline Na2CdHPd at its relaxed geometry at the PBE-GGA level of DFT.

Cell: 5.2394 5.2394 3.4336 Å, 90.00 90.00 90.00°
With the nearest neighbours (Å) after each atom.
Fractional coordinates of all 5 atoms:
Na (0.0000, 0.5000, 0.0000)  2 H 2.62
Na (0.5000, 0.0000, 0.0000)  2 H 2.62
Cd (0.0000, 0.0000, 0.5000)  8 Na 3.13, 2 Cd 3.43
H (0.5000, 0.5000, 0.0000)  2 Pd 1.72
Pd (0.5000, 0.5000, 0.5000)  2 H 1.72

Calculated values
E = -2.56 eV/atom



(6)
Computed, not measured: crystalline LaMgNi at its relaxed geometry at the PBE-GGA level of DFT.

Cell: 6.6932 6.6932 6.6932 Å, 90.00 90.00 90.00°
With the nearest neighbours (Å) after each atom.
Fractional coordinates of all 12 atoms:
La (0.0000, 0.0000, 0.0000)  4 Ni 2.90
La (0.0000, 0.5000, 0.5000)  4 Ni 2.90
La (0.5000, 0.0000, 0.5000)  4 Ni 2.90
La (0.5000, 0.5000, 0.0000)  4 Ni 2.90
Mg (0.0000, 0.0000, 0.5000)  4 Ni 2.90
Mg (0.0000, 0.5000, 0.0000)  4 Ni 2.90
Mg (0.5000, 0.0000, 0.0000)  4 Ni 2.90
Mg (0.5000, 0.5000, 0.5000)  4 Ni 2.90
Ni (0.2500, 0.2500, 0.2500)  4 La 2.90, 4 Mg 2.90
Ni (0.2500, 0.7500, 0.7500)  4 La 2.90, 4 Mg 2.90
Ni (0.7500, 0.2500, 0.7500)  4 La 2.90, 4 Mg 2.90
Ni (0.7500, 0.7500, 0.2500)  4 La 2.90, 4 Mg 2.90

Calculated values
ΔH_f (0 K) = -139 meV/atom



(7)
Computed, not measured: crystalline TmBeAlPt3 at its relaxed geometry at the PBE-GGA level of DFT.

Cell: 6.7019 6.7019 5.4368 Å, 90.00 90.00 118.95°
With the nearest neighbours (Å) after each atom.
Fractional coordinates of all 12 atoms:
Tm (0.1960, 0.8040, 0.7500)  2 Be 2.86, 6 Pt 2.98-3.04, 1 Al 3.05
Tm (0.8040, 0.1960, 0.2500)  2 Be 2.86, 6 Pt 2.98-3.04, 1 Al 3.05
Be (0.1192, 0.8808, 0.2500)  5 Pt 2.24-2.37
Be (0.8808, 0.1192, 0.7500)  5 Pt 2.24-2.37
Al (0.4606, 0.5394, 0.7500)  5 Pt 2.48-2.61
Al (0.5394, 0.4606, 0.2500)  5 Pt 2.48-2.61
Pt (0.2021, 0.2021, 0.0000)  2 Be 2.37, 2 Al 2.48
Pt (0.2021, 0.2021, 0.5000)  2 Be 2.37, 2 Al 2.48
Pt (0.3132, 0.6868, 0.2500)  1 Be 2.24
Pt (0.6868, 0.3132, 0.7500)  1 Be 2.24
Pt (0.7979, 0.7979, 0.0000)  2 Be 2.37, 2 Al 2.48
Pt (0.7979, 0.7979, 0.5000)  2 Be 2.37, 2 Al 2.48

Calculated values
ΔH_f (0 K) = -755 meV/atom



(8)
Computed, not measured: crystalline CeMgGa2 at its relaxed geometry at the PBE-GGA level of DFT.

Cell: 4.8721 4.8721 8.5890 Å, 90.00 90.00 120.00°
With the nearest neighbours (Å) after each atom.
Fractional coordinates of all 8 atoms:
Ce (0.3333, 0.6667, 0.2500)  8 Ga 3.01-3.09
Ce (0.6667, 0.3333, 0.7500)  8 Ga 3.01-3.09
Mg (0.0000, 0.0000, 0.0000)  6 Ga 2.94
Mg (0.0000, 0.0000, 0.5000)  6 Ga 2.94
Ga (0.3333, 0.6667, 0.5999)  1 Ga 2.58
Ga (0.3333, 0.6667, 0.9001)  1 Ga 2.58
Ga (0.6667, 0.3333, 0.0999)  1 Ga 2.58
Ga (0.6667, 0.3333, 0.4001)  1 Ga 2.58

Calculated values
ΔH_f (0 K) = -369 meV/atom



(9)
Computed, not measured: crystalline La2AsIr at its relaxed geometry at the PBE-GGA level of DFT.

Cell: 4.4208 4.1360 11.2338 Å, 90.00 90.00 90.00°
With the nearest neighbours (Å) after each atom.
Fractional coordinates of all 8 atoms:
La (0.0000, 0.0000, 0.0000)  1 Ir 2.95, 4 As 3.10
La (0.0000, 0.5000, 0.5000)  1 Ir 2.95, 4 As 3.10
La (0.5000, 0.0000, 0.2753)  4 Ir 3.06, 3 As 3.18-3.19
La (0.5000, 0.5000, 0.7753)  4 Ir 3.06, 3 As 3.18-3.19
As (0.5000, 0.0000, 0.5587)  2 Ir 2.99, 7 La 3.10-3.19
As (0.5000, 0.5000, 0.0587)  2 Ir 2.99, 7 La 3.10-3.19
Ir (0.0000, 0.0000, 0.7374)  5 La 2.95-3.06, 2 As 2.99
Ir (0.0000, 0.5000, 0.2374)  5 La 2.95-3.06, 2 As 2.99

Calculated values
ΔH_f (0 K) = -1039 meV/atom



(10)
Computed, not measured: crystalline Ac2Cu2Au at its relaxed geometry at the PBE-GGA level of DFT.

Cell: 7.8627 7.8627 4.1309 Å, 90.00 90.00 90.00°
With the nearest neighbours (Å) after each atom.
Fractional coordinates of all 10 atoms:
Ac (0.1847, 0.3153, 0.0000)  6 Cu 3.07-3.17
Ac (0.3153, 0.8153, 0.0000)  6 Cu 3.07-3.17
Ac (0.6847, 0.1847, 0.0000)  6 Cu 3.07-3.17
Ac (0.8153, 0.6847, 0.0000)  6 Cu 3.07-3.17
Cu (0.1114, 0.6114, 0.5000)  1 Cu 2.48
Cu (0.3886, 0.1114, 0.5000)  1 Cu 2.48
Cu (0.6114, 0.8886, 0.5000)  1 Cu 2.48
Cu (0.8886, 0.3886, 0.5000)  1 Cu 2.48
Au (0.0000, 0.0000, 0.5000)  4 Cu 3.18, 8 Ac 3.54
Au (0.5000, 0.5000, 0.5000)  4 Cu 3.18, 8 Ac 3.54

Calculated values
ΔH_f (0 K) = -339 meV/atom
E above lowest polymorph = 0.0544 eV per atom



(11)
Computed, not measured: crystalline K3Mn2CuBr9 at its relaxed geometry at the PBE-GGA level of DFT.

Cell: 7.4426 7.4426 9.1290 Å, 90.00 90.00 120.00°
With the nearest neighbours (Å) after each atom.
Fractional coordinates of all 15 atoms:
K (0.0000, 0.0000, 0.0000)  12 Br 3.72
K (0.3333, 0.6667, 0.6598)  12 Br 3.68-3.78
K (0.6667, 0.3333, 0.3402)  12 Br 3.68-3.78
Mn (0.3333, 0.6667, 0.1746)  6 Br 2.59-2.68
Mn (0.6667, 0.3333, 0.8254)  6 Br 2.59-2.68
Cu (0.0000, 0.0000, 0.5000)  6 Br 2.63
Br (0.0000, 0.5000, 0.0000)  2 Mn 2.68
Br (0.1666, 0.3331, 0.3330)  1 Mn 2.59, 1 Cu 2.63
Br (0.1666, 0.8334, 0.3330)  1 Mn 2.59, 1 Cu 2.63
Br (0.3331, 0.1666, 0.6670)  1 Mn 2.59, 1 Cu 2.63
Br (0.5000, 0.0000, 0.0000)  2 Mn 2.68
Br (0.5000, 0.5000, 0.0000)  2 Mn 2.68
Br (0.6669, 0.8334, 0.3330)  1 Mn 2.59, 1 Cu 2.63
Br (0.8334, 0.1666, 0.6670)  1 Mn 2.59, 1 Cu 2.63
Br (0.8334, 0.6669, 0.6670)  1 Mn 2.59, 1 Cu 2.63

Calculated values
formation energy (no corrections) = -1051 meV/atom



(12)
Computed, not measured: crystalline LiLa3As at its relaxed geometry at the PBE-GGA level of DFT.

Cell: 5.8105 5.8105 5.8105 Å, 90.00 90.00 90.00°
With the nearest neighbours (Å) after each atom.
Fractional coordinates of all 5 atoms:
Li (0.0000, 0.0000, 0.0000)  12 La 4.11
La (0.0000, 0.5000, 0.5000)  2 As 2.91
La (0.5000, 0.0000, 0.5000)  2 As 2.91
La (0.5000, 0.5000, 0.0000)  2 As 2.91
As (0.5000, 0.5000, 0.5000)  6 La 2.91

Calculated values
ΔH_f (0 K) = -305 meV/atom
E above lowest polymorph = 0.0000 eV per atom



Density of states at the Fermi level in states/eV per cell, matching the order above: 9.973 8.164 20.588 8.145 1.224 11.080 6.316 10.438 1.866 6.737 1.760 11.271